--- w ---
CaTa2Ru PBE-GGA optimized geometry; symmetry = Pmmm; M_tot = 0.0 μB/cell
1.0
2.999 0.000 0.000
0.000 2.978 0.000
0.000 0.000 9.117
Ru Ca Ta
1 1 2
Direct
0.500 0.500 0.750
0.500 0.500 0.250
0.000 0.000 0.940
0.000 0.000 0.560

--- x ---
CaTa2Ru PBE-GGA optimized geometry; symmetry = I-42d; M_tot = 0.0 μB/cell
1.0
-4.011 -6.165 -2.469
4.329 -0.240 -6.433
2.029 -4.950 -3.127
Ru Ca Ta
2 2 4
Direct
0.000 0.000 0.000
0.750 0.250 0.500
0.500 0.500 0.000
0.250 0.750 0.500
0.691 0.125 0.250
0.059 0.625 0.250
0.375 0.309 0.750
0.875 0.941 0.750

--- y ---
CaTa2Ru PBE-GGA optimized geometry; symmetry = Pmmm; M_tot = 0.0 μB/cell
1.0
-2.520 2.078 -0.168
-2.648 -3.032 2.217
1.348 1.984 4.324
Ru Ca Ta
1 1 2
Direct
0.000 0.500 0.500
0.500 0.000 0.500
0.000 0.000 0.000
0.500 0.500 0.000

--- z ---
CaTa2Ru PBE-GGA optimized geometry; symmetry = Imm2; M_tot = 0.0 μB/cell
1.0
5.640 -0.002 -0.005
2.556 5.028 0.005
-3.447 -3.576 2.673
Ru Ca Ta
1 1 2
Direct
0.233 0.733 0.500
0.481 0.481 0.000
0.023 0.023 0.000
0.762 0.262 0.500

Most stable: w (next structure +73 meV/atom)

--- w ---
CaTa2Ru PBE-GGA optimized geometry; symmetry = Cmmm; M_tot = 0.1 μB/cell
1.0
-1.899 -4.939 1.680
5.118 0.552 -2.079
1.008 0.502 2.614
Ru Ca Ta
1 1 2
Direct
0.000 0.500 0.500
0.500 0.000 0.500
0.000 0.000 0.000
0.500 0.500 0.000

--- x ---
CaTa2Ru PBE-GGA optimized geometry; symmetry = F-43m; M_tot = 0.0 μB/cell
1.0
4.721 0.000 0.000
2.361 4.089 0.000
2.361 1.363 3.855
Ru Ca Ta
1 1 2
Direct
0.750 0.750 0.750
0.500 0.500 0.500
0.000 0.000 0.000
0.250 0.250 0.250

Most stable: x (next structure +97 meV/atom)